Compound: La4PmHo15
Source: the Alexandria database
Functional: GGA-PBE
Structure: optimized geometry

Output
formation energy from the elements: 0.03 eV/atom
space-group type: No. 123

a = 5.0756 Å, b = 5.0756 Å, c = 25.1687 Å
α = 90.00°, β = 90.00°, γ = 90.00°
With the nearest neighbours (Å) after each atom.
Atoms (fractional coordinates):
La 0.0000 0.0000 0.1003  12 Ho 3.58-3.59
La 0.0000 0.0000 0.3000  12 Ho 3.57-3.60
La 0.0000 0.0000 0.7000  12 Ho 3.57-3.60
La 0.0000 0.0000 0.8997  12 Ho 3.58-3.59
Pm 0.0000 0.0000 0.5000  12 Ho 3.55-3.59
Ho 0.0000 0.5000 0.0000  8 Ho 3.58-3.59, 4 La 3.58
Ho 0.0000 0.5000 0.2005  4 La 3.57-3.58, 8 Ho 3.58-3.59
Ho 0.0000 0.5000 0.4015  8 Ho 3.55-3.59, 2 Pm 3.55, 2 La 3.60
Ho 0.0000 0.5000 0.5985  8 Ho 3.55-3.59, 2 Pm 3.55, 2 La 3.60
Ho 0.0000 0.5000 0.7995  4 La 3.57-3.58, 8 Ho 3.58-3.59
Ho 0.5000 0.0000 0.0000  8 Ho 3.58-3.59, 4 La 3.58
Ho 0.5000 0.0000 0.2005  4 La 3.57-3.58, 8 Ho 3.58-3.59
Ho 0.5000 0.0000 0.4015  8 Ho 3.55-3.59, 2 Pm 3.55, 2 La 3.60
Ho 0.5000 0.0000 0.5985  8 Ho 3.55-3.59, 2 Pm 3.55, 2 La 3.60
Ho 0.5000 0.0000 0.7995  4 La 3.57-3.58, 8 Ho 3.58-3.59
Ho 0.5000 0.5000 0.1002  8 Ho 3.58, 4 La 3.59
Ho 0.5000 0.5000 0.3010  8 Ho 3.58, 4 La 3.59
Ho 0.5000 0.5000 0.5000  8 Ho 3.55, 4 Pm 3.59
Ho 0.5000 0.5000 0.6990  8 Ho 3.58, 4 La 3.59
Ho 0.5000 0.5000 0.8998  8 Ho 3.58, 4 La 3.59

***

Compound: InPbBr2
Source: the Alexandria database
Functional: GGA-PBE
Structure: optimized geometry

Output
ΔE_f (raw): -0.49 eV per atom
energy relative to the lowest polymorph listed for this composition: 0.21 eV/f.u.
space-group type: No. 65

a = 3.8260 Å, b = 3.8260 Å, c = 9.4928 Å
α = 90.00°, β = 90.00°, γ = 113.53°
With the nearest neighbours (Å) after each atom.
Atoms (fractional coordinates):
In 0.0000 0.0000 0.0000  4 Br 3.17
Pb 0.0000 0.0000 0.5000  4 Br 3.16
Br 0.5000 0.5000 0.2511  2 Pb 3.16, 2 In 3.17
Br 0.5000 0.5000 0.7489  2 Pb 3.16, 2 In 3.17

***

Compound: PaCdSbO6
Source: the Alexandria database
Functional: GGA-PBE
Structure: optimized geometry

Output
ΔE_f (raw): -2.09 eV per atom
space-group type: No. 163

a = 5.6252 Å, b = 5.6252 Å, c = 9.5436 Å
α = 90.00°, β = 90.00°, γ = 120.00°
With the nearest neighbours (Å) after each atom.
Atoms (fractional coordinates):
Pa 0.3333 0.6667 0.2500  6 O 2.20
Pa 0.6667 0.3333 0.7500  6 O 2.20
Cd 0.0000 0.0000 0.0000  6 O 2.40
Cd 0.0000 0.0000 0.5000  6 O 2.40
Sb 0.3333 0.6667 0.7500  6 O 2.02
Sb 0.6667 0.3333 0.2500  6 O 2.02
O 0.0243 0.3694 0.6363  1 Sb 2.02, 1 Pa 2.20
O 0.0243 0.6549 0.8637  1 Sb 2.02, 1 Pa 2.20
O 0.3451 0.3694 0.8637  1 Sb 2.02, 1 Pa 2.20
O 0.3451 0.9757 0.6363  1 Sb 2.02, 1 Pa 2.20
O 0.3694 0.0243 0.1363  1 Sb 2.02, 1 Pa 2.20
O 0.3694 0.3451 0.3637  1 Sb 2.02, 1 Pa 2.20
O 0.6306 0.6549 0.6363  1 Sb 2.02, 1 Pa 2.20
O 0.6306 0.9757 0.8637  1 Sb 2.02, 1 Pa 2.20
O 0.6549 0.0243 0.3637  1 Sb 2.02, 1 Pa 2.20
O 0.6549 0.6306 0.1363  1 Sb 2.02, 1 Pa 2.20
O 0.9757 0.3451 0.1363  1 Sb 2.02, 1 Pa 2.20
O 0.9757 0.6306 0.3637  1 Sb 2.02, 1 Pa 2.20

***

Which total moment belongs to each record? In order, 0.0; 0.0; 0.0 μB per formula unit.
Which theoretical density belongs to each record? In order, 8.13; 6.28; 7.13 g/cm³.